(1)
Compound: Hf6Ga16Pd7
Source: Alexandria
Functional: PBE
Structure: optimized geometry

Properties
The value obtained for the final energy is -159.943 eV per cell. The spin magnetization comes out at 0.00 Bohr magnetons per cell. The value obtained for the density of states at the Fermi level is 4.39 states/eV per cell.

Cell lengths 8.813, 8.813, 8.813 Å; angles 60.00, 60.00, 60.00 degrees
Sites, in units of the cell vectors:
Hf (0.684, 0.684, 0.316)
Hf (0.316, 0.684, 0.316)
Hf (0.684, 0.316, 0.316)
Hf (0.316, 0.316, 0.684)
Hf (0.684, 0.316, 0.684)
Hf (0.316, 0.684, 0.684)
Ga (0.879, 0.879, 0.364)
Ga (0.879, 0.364, 0.879)
Ga (0.364, 0.879, 0.879)
Ga (0.879, 0.879, 0.879)
Ga (0.121, 0.121, 0.636)
Ga (0.121, 0.636, 0.121)
Ga (0.636, 0.121, 0.121)
Ga (0.121, 0.121, 0.121)
Ga (0.660, 0.660, 0.019)
Ga (0.660, 0.019, 0.660)
Ga (0.019, 0.660, 0.660)
Ga (0.660, 0.660, 0.660)
Ga (0.340, 0.340, 0.981)
Ga (0.340, 0.981, 0.340)
Ga (0.981, 0.340, 0.340)
Ga (0.340, 0.340, 0.340)
Pd (0.000, 0.000, 0.000)
Pd (0.000, 0.000, 0.500)
Pd (0.500, 0.000, 0.500)
Pd (0.000, 0.500, 0.500)
Pd (0.500, 0.500, 0.000)
Pd (0.000, 0.500, 0.000)
Pd (0.500, 0.000, 0.000)

---

(2)
Compound: HfGaPd
Source: Alexandria
Functional: PBE
Structure: optimized geometry

Properties
The value obtained for the final energy is -76.348 eV per cell. The spin magnetization comes out at 0.00 Bohr magnetons per cell. The value obtained for the density of states at the Fermi level is 4.77 states/eV per cell.

Cell lengths 6.164, 6.164, 6.164 Å; angles 90.00, 90.00, 90.00 degrees
Sites, in units of the cell vectors:
Pd (0.519, 0.519, 0.519)
Pd (0.981, 0.481, 0.019)
Pd (0.019, 0.981, 0.481)
Pd (0.481, 0.019, 0.981)
Ga (0.284, 0.284, 0.284)
Ga (0.216, 0.716, 0.784)
Ga (0.784, 0.216, 0.716)
Ga (0.716, 0.784, 0.216)
Hf (0.033, 0.033, 0.033)
Hf (0.467, 0.967, 0.533)
Hf (0.533, 0.467, 0.967)
Hf (0.967, 0.533, 0.467)